Record 1
VASP calculation (GGA+U) on LiMn2O4 after structural relaxation.

Cell lengths 5.860, 5.860, 9.793 Å; angles 90.00, 90.00, 120.00 degrees
Element x y z (fractional)
Li: 0.000 0.000 0.000
Li: 0.000 0.000 0.500
Li: 0.333 0.667 0.387
Li: 0.667 0.333 0.887
Mn: 0.169 0.337 0.718
Mn: 0.169 0.831 0.718
Mn: 0.333 0.667 0.996
Mn: 0.337 0.169 0.218
Mn: 0.663 0.831 0.718
Mn: 0.667 0.333 0.496
Mn: 0.831 0.169 0.218
Mn: 0.831 0.663 0.218
O: 0.000 0.000 0.314
O: 0.000 0.000 0.814
O: 0.034 0.517 0.831
O: 0.158 0.315 0.110
O: 0.158 0.842 0.110
O: 0.315 0.158 0.610
O: 0.333 0.667 0.612
O: 0.483 0.517 0.831
O: 0.483 0.966 0.831
O: 0.517 0.034 0.331
O: 0.517 0.483 0.331
O: 0.667 0.333 0.112
O: 0.685 0.842 0.110
O: 0.842 0.158 0.610
O: 0.842 0.685 0.610
O: 0.966 0.483 0.331

Values from the calculation:
SG: P6_3mc (186)
N(E_F): 0.050 states/eV per atom
Calculated total energy: -6.8785 eV/atom
Relative energy among the computed polymorphs: 25 meV/atom



Record 2
VASP calculation (GGA+U) on MnV2CdF after structural relaxation.

Cell lengths 5.165, 5.165, 3.860 Å; angles 90.00, 90.00, 90.00 degrees
Element x y z (fractional)
Mn: 0.000 0.000 0.000
V: 0.000 0.500 0.000
V: 0.500 0.000 0.000
Cd: 0.500 0.500 0.500
F: 0.000 0.000 0.500

Values from the calculation:
SG: P4/mmm (123)
N(E_F): 0.666 states/eV per atom
Calculated total energy: -4.4808 eV/atom



Record 3
VASP calculation (GGA+U) on LiVInF6 after structural relaxation.

Cell lengths 4.895, 4.895, 9.770 Å; angles 90.00, 90.00, 90.00 degrees
Element x y z (fractional)
Li: 0.000 0.000 0.000
Li: 0.500 0.500 0.500
V: 0.000 0.000 0.668
V: 0.500 0.500 0.168
In: 0.000 0.000 0.333
In: 0.500 0.500 0.833
F: 0.194 0.194 0.167
F: 0.194 0.194 0.836
F: 0.197 0.197 0.500
F: 0.303 0.697 0.000
F: 0.306 0.694 0.336
F: 0.306 0.694 0.667
F: 0.694 0.306 0.336
F: 0.694 0.306 0.667
F: 0.697 0.303 0.000
F: 0.803 0.803 0.500
F: 0.806 0.806 0.167
F: 0.806 0.806 0.836

Values from the calculation:
SG: P4_2nm (102)
Calculated total energy: -5.2708 eV/atom